Record 1
# La3Pm5Er4

Crystalline La3Pm5Er4 at its relaxed geometry (PBE, the Alexandria database).

* volume: 34.26 Å³/atom
* final energy: -4.5040 eV/atom
* calculated density: 7.31 g/cm³

Cell and atoms, written as CIF:
```
data_La3Pm5Er4
_cell_length_a 16.352
_cell_length_b 6.013
_cell_length_c 9.360
_cell_angle_alpha 90.00
_cell_angle_beta 116.68
_cell_angle_gamma 90.00
_space_group_name_H-M_alt 'C 1 2/m 1'
_space_group_IT_number 12
_space_group_name_Hall '-C 2y'
loop_
_atom_site_label
_atom_site_type_symbol
_atom_site_fract_x
_atom_site_fract_y
_atom_site_fract_z
La1 La 0.000 0.000 0.000
La2 La 0.206 0.500 0.219
Pm1 Pm 0.000 0.500 0.000
Pm2 Pm 0.076 0.000 0.700
Pm3 Pm 0.173 0.000 0.394
Er1 Er 0.079 0.500 0.437
Er2 Er 0.209 0.500 0.868
```

***

Record 2
# TmMgPd3

Crystalline TmMgPd3 at its relaxed geometry (PBE, the Alexandria database).

* volume: 18.39 Å³/atom
* final energy: -5.0629 eV/atom
* calculated density: 9.26 g/cm³

Cell and atoms, written as CIF:
```
data_TmMgPd3
_cell_length_a 7.394
_cell_length_b 7.465
_cell_length_c 7.510
_cell_angle_alpha 90.00
_cell_angle_beta 117.48
_cell_angle_gamma 90.00
_space_group_name_H-M_alt 'C 1 2/m 1'
_space_group_IT_number 12
_space_group_name_Hall '-C 2y'
loop_
_atom_site_label
_atom_site_type_symbol
_atom_site_fract_x
_atom_site_fract_y
_atom_site_fract_z
Tm1 Tm 0.232 0.000 0.015
Mg1 Mg 0.000 0.201 0.500
Pd1 Pd 0.100 0.297 0.203
Pd2 Pd 0.223 0.500 0.560
```

***

Record 3
# BaTcTeSe2

Crystalline BaTcTeSe2 at its relaxed geometry (PBE, the Alexandria database).

* volume: 38.57 Å³/atom
* formation energy from raw total energies: 0.777 eV per atom
* calculated density: 4.48 g/cm³

Cell and atoms, written as CIF:
```
data_BaTcTeSe2
_cell_length_a 5.490
_cell_length_b 5.490
_cell_length_c 6.399
_cell_angle_alpha 90.00
_cell_angle_beta 90.00
_cell_angle_gamma 90.00
_space_group_name_H-M_alt 'P 4/m m m'
_space_group_IT_number 123
_space_group_name_Hall '-P 4 2'
loop_
_atom_site_label
_atom_site_type_symbol
_atom_site_fract_x
_atom_site_fract_y
_atom_site_fract_z
Ba1 Ba 0.000 0.000 0.000
Tc1 Tc 0.500 0.500 0.000
Te1 Te 0.000 0.000 0.500
Se1 Se 0.000 0.500 0.500
```

***

Record 4
# LiAlGePd

Crystalline LiAlGePd at its relaxed geometry (PBE, the Alexandria database).

* volume: 14.81 Å³/atom
* final energy: -4.3056 eV/atom
* calculated density: 5.97 g/cm³

Cell and atoms, written as CIF:
```
data_LiAlGePd
_cell_length_a 6.188
_cell_length_b 6.188
_cell_length_c 6.188
_cell_angle_alpha 90.00
_cell_angle_beta 90.00
_cell_angle_gamma 90.00
_space_group_name_H-M_alt 'F -4 3 m'
_space_group_IT_number 216
_space_group_name_Hall 'F -4 2 3'
loop_
_atom_site_label
_atom_site_type_symbol
_atom_site_fract_x
_atom_site_fract_y
_atom_site_fract_z
Li1 Li 0.000 0.000 0.000
Al1 Al 0.250 0.250 0.250
Ge1 Ge 0.250 0.250 0.750
Pd1 Pd 0.000 0.000 0.500
```

***

Record 5
# Rb2Nd2ZrS6

Crystalline Rb2Nd2ZrS6 at its relaxed geometry (PBE, the Alexandria database).

* volume: 30.46 Å³/atom
* formation energy from raw total energies: -1.751 eV per atom
* calculated density: 3.68 g/cm³

Cell and atoms, written as CIF:
```
data_Rb2Nd2ZrS6
_cell_length_a 7.054
_cell_length_b 12.072
_cell_length_c 8.223
_cell_angle_alpha 90.00
_cell_angle_beta 106.87
_cell_angle_gamma 90.00
_space_group_name_H-M_alt 'C 1 2/m 1'
_space_group_IT_number 12
_space_group_name_Hall '-C 2y'
loop_
_atom_site_label
_atom_site_type_symbol
_atom_site_fract_x
_atom_site_fract_y
_atom_site_fract_z
Rb1 Rb 0.000 0.170 0.000
Nd1 Nd 0.000 0.334 0.500
Zr1 Zr 0.000 0.000 0.500
S1 S 0.218 0.155 0.688
S2 S 0.242 0.000 0.313
```

***

Record 6
# MgTlPb2

Crystalline MgTlPb2 at its relaxed geometry (PBE, the Alexandria database).

* volume: 28.89 Å³/atom
* final energy: -2.8362 eV/atom
* calculated density: 9.24 g/cm³

Cell and atoms, written as CIF:
```
data_MgTlPb2
_cell_length_a 4.877
_cell_length_b 4.877
_cell_length_c 9.717
_cell_angle_alpha 90.00
_cell_angle_beta 90.00
_cell_angle_gamma 90.00
_space_group_name_H-M_alt 'I -4 m 2'
_space_group_IT_number 119
_space_group_name_Hall 'I -4 -2'
loop_
_atom_site_label
_atom_site_type_symbol
_atom_site_fract_x
_atom_site_fract_y
_atom_site_fract_z
Mg1 Mg 0.000 0.000 0.000
Tl1 Tl 0.000 0.500 0.250
Pb1 Pb 0.000 0.000 0.500
Pb2 Pb 0.000 0.500 0.750
```

***

Record 7
# Sb6S8I

Crystalline Sb6S8I at its relaxed geometry (PBE, the Alexandria database).

* volume: 38.82 Å³/atom
* formation energy from raw total energies: -0.139 eV per atom
* calculated density: 3.18 g/cm³

Cell and atoms, written as CIF:
```
data_Sb6S8I
_cell_length_a 9.1668
_cell_length_b 9.1668
_cell_length_c 24.0055
_cell_angle_alpha 90.00
_cell_angle_beta 90.00
_cell_angle_gamma 120.00
_space_group_name_H-M_alt 'R -3'
_space_group_IT_number 148
_space_group_name_Hall '-R 3'
loop_
_atom_site_label
_atom_site_type_symbol
_atom_site_fract_x
_atom_site_fract_y
_atom_site_fract_z
Sb1 Sb 0.0011 0.2759 0.3845
S1 S 0.0000 0.0000 0.4118
S2 S 0.0097 0.2617 0.2828
I1 I 0.0000 0.0000 0.0000
```

***

Record 8
# Ba4HN

Crystalline Ba4HN at its relaxed geometry (PBE, the Alexandria database).

* volume: 36.73 Å³/atom
* energy above the most stable polymorph in this dataset: 51 meV per atom
* calculated density: 4.25 g/cm³

Cell and atoms, written as CIF:
```
data_Ba4HN
_cell_length_a 16.199
_cell_length_b 4.227
_cell_length_c 7.118
_cell_angle_alpha 90.00
_cell_angle_beta 115.26
_cell_angle_gamma 90.00
_space_group_name_H-M_alt 'C 1 2/m 1'
_space_group_IT_number 12
_space_group_name_Hall '-C 2y'
loop_
_atom_site_label
_atom_site_type_symbol
_atom_site_fract_x
_atom_site_fract_y
_atom_site_fract_z
Ba1 Ba 0.104 0.000 0.433
Ba2 Ba 0.113 0.500 0.907
H1 H 0.000 0.000 0.000
N1 N 0.000 0.500 0.500
```

***

Record 9
# NaLaH2Au

Crystalline NaLaH2Au at its relaxed geometry (PBE, the Alexandria database).

* volume: 21.26 Å³/atom
* energy above the most stable polymorph in this dataset: 135 meV per atom
* calculated density: 5.64 g/cm³

Cell and atoms, written as CIF:
```
data_NaLaH2Au
_cell_length_a 4.340
_cell_length_b 4.340
_cell_length_c 5.644
_cell_angle_alpha 90.00
_cell_angle_beta 90.00
_cell_angle_gamma 90.00
_space_group_name_H-M_alt 'P 4/m m m'
_space_group_IT_number 123
_space_group_name_Hall '-P 4 2'
loop_
_atom_site_label
_atom_site_type_symbol
_atom_site_fract_x
_atom_site_fract_y
_atom_site_fract_z
Na1 Na 0.000 0.000 0.000
La1 La 0.500 0.500 0.000
H1 H 0.000 0.500 0.500
Au1 Au 0.500 0.500 0.500
```

***

Record 10
# Ba2HfAg2S6

Crystalline Ba2HfAg2S6 at its relaxed geometry (PBE, the Alexandria database).

* volume: 27.34 Å³/atom
* formation energy from raw total energies: -1.024 eV per atom
* calculated density: 4.76 g/cm³

Cell and atoms, written as CIF:
```
data_Ba2HfAg2S6
_cell_length_a 7.3755
_cell_length_b 7.3755
_cell_length_c 19.1521
_cell_angle_alpha 90.00
_cell_angle_beta 90.00
_cell_angle_gamma 120.00
_space_group_name_H-M_alt 'R -3 m'
_space_group_IT_number 166
_space_group_name_Hall '-R 3 2"'
loop_
_atom_site_label
_atom_site_type_symbol
_atom_site_fract_x
_atom_site_fract_y
_atom_site_fract_z
Ba1 Ba 0.0000 0.0000 0.2234
Hf1 Hf 0.0000 0.0000 0.0000
Ag1 Ag 0.0000 0.0000 0.4161
S1 S 0.0380 0.5190 0.7539
```

***

Record 11
# Mn4GaS8

Crystalline Mn4GaS8 at its relaxed geometry (PBE, the Alexandria database).

* volume: 17.79 Å³/atom
* formation energy from raw total energies: -0.568 eV per atom
* calculated density: 3.92 g/cm³

Cell and atoms, written as CIF:
```
data_Mn4GaS8
_cell_length_a 9.744
_cell_length_b 9.744
_cell_length_c 9.744
_cell_angle_alpha 90.00
_cell_angle_beta 90.00
_cell_angle_gamma 90.00
_space_group_name_H-M_alt 'F -4 3 m'
_space_group_IT_number 216
_space_group_name_Hall 'F -4 2 3'
loop_
_atom_site_label
_atom_site_type_symbol
_atom_site_fract_x
_atom_site_fract_y
_atom_site_fract_z
Mn1 Mn 0.117 0.117 0.383
Ga1 Ga 0.000 0.000 0.000
S1 S 0.117 0.117 0.617
S2 S 0.137 0.137 0.137
```

***

Record 12
# TmLuPu2

Crystalline TmLuPu2 at its relaxed geometry (PBE, the Alexandria database).

* volume: 28.26 Å³/atom
* energy above the most stable polymorph in this dataset: 0 meV per atom
* calculated density: 12.22 g/cm³

Cell and atoms, written as CIF:
```
data_TmLuPu2
_cell_length_a 3.363
_cell_length_b 3.363
_cell_length_c 9.997
_cell_angle_alpha 90.00
_cell_angle_beta 90.00
_cell_angle_gamma 90.00
_space_group_name_H-M_alt 'P 4/m m m'
_space_group_IT_number 123
_space_group_name_Hall '-P 4 2'
loop_
_atom_site_label
_atom_site_type_symbol
_atom_site_fract_x
_atom_site_fract_y
_atom_site_fract_z
Tm1 Tm 0.000 0.000 0.000
Lu1 Lu 0.000 0.000 0.500
Pu1 Pu 0.500 0.500 0.251
```